(1)
A plane-wave DFT calculation with GGA-PBEsol was carried out for a relaxed structure of Y2PtRh2.

Lattice parameters (Å, degrees): 7.020 7.020 3.839 90.00 90.00 90.00
Fractional coordinates of all 10 atoms:
Y  0.178  0.322  0.000
Y  0.322  0.822  0.000
Y  0.678  0.178  0.000
Y  0.822  0.678  0.000
Pt  0.000  0.000  0.500
Pt  0.500  0.500  0.500
Rh  0.131  0.631  0.500
Rh  0.369  0.131  0.500
Rh  0.631  0.869  0.500
Rh  0.869  0.369  0.500

Results
The energy of formation comes out at -0.813 eV/atom. The space group is P4/mbm, No. 127.

=====

(2)
A plane-wave DFT calculation with GGA-PBEsol was carried out for a relaxed structure of Sc4TaTc.

Lattice parameters (Å, degrees): 5.446 5.446 5.446 60.00 60.00 60.00
Fractional coordinates of all 6 atoms:
Sc  0.125  0.125  0.125
Sc  0.125  0.125  0.625
Sc  0.125  0.625  0.125
Sc  0.625  0.125  0.125
Ta  0.500  0.500  0.500
Tc  0.750  0.750  0.750

Results
The energy of formation comes out at 0.658 eV/atom. The space group is F-43m, No. 216.

=====

(3)
A plane-wave DFT calculation with GGA-PBEsol was carried out for a relaxed structure of Ba2MnAu.

Lattice parameters (Å, degrees): 3.952 5.359 11.632 90.00 90.00 90.00
Fractional coordinates of all 8 atoms:
Ba  0.000  0.000  0.000
Ba  0.000  0.500  0.203
Ba  0.500  0.000  0.703
Ba  0.500  0.500  0.500
Mn  0.000  0.500  0.792
Mn  0.500  0.000  0.292
Au  0.000  0.000  0.436
Au  0.500  0.500  0.936

Results
The energy of formation comes out at 0.100 eV/atom. The space group is Imm2, No. 44.